Entry from the Alexandria database: Mg3PN at its PBEsol-relaxed geometry (SCAN).

Unit cell a=5.856 b=5.856 c=4.191 alpha=90.00 beta=90.00 gamma=90.00
Positions (direct):
Mg 0.000 0.000 0.000
Mg 0.206 0.294 0.500
Mg 0.294 0.794 0.500
Mg 0.500 0.500 0.000
Mg 0.706 0.206 0.500
Mg 0.794 0.706 0.500
P 0.000 0.500 0.000
P 0.500 0.000 0.000
N 0.000 0.000 0.500
N 0.500 0.500 0.500

Its mass density is 2.7 g/cm3. The value obtained for the energy relative to the lowest polymorph listed for this composition is 0.000 eV per atom. The value obtained for the raw formation energy is -905 meV per atom. The calculation puts the volume at 14.37 Å³/atom.